The following is a DFT calculation (PBE with a Hubbard U) of a geometry-optimized NiAgC2O6 structure.

The density of states at the Fermi level comes out at 0.237 states/eV per atom. The total energy is -254.30 eV per cell.

The structure belongs to space group C2/c (No. 15); the cell edges are 7.845, 9.765 and 5.979 Å and the angles 90.00°, 106.10° and 90.00°. The distinct sites, in fractional coordinates, are Ni at (0.000, 0.090, 0.250), Ag at (0.000, 0.380, 0.750), C at (0.245, 0.352, 0.253), O at (0.118, 0.085, 0.613), O at (0.130, 0.426, 0.109) and O at (0.225, 0.221, 0.257).